Crystalline CdBiBr2 at its relaxed geometry. Source: the Alexandria database, functional PBEsol.

Results
uncorrected formation energy = -17.3 kJ per mole of atoms
SG = I-42d (122)

Structure (CIF):
```
data_CdBiBr2
_cell_length_a 7.4821
_cell_length_b 7.4821
_cell_length_c 7.4821
_cell_angle_alpha 99.30
_cell_angle_beta 99.30
_cell_angle_gamma 132.59
_symmetry_space_group_name_H-M 'P 1'
_symmetry_Int_Tables_number 1
_symmetry_space_group_name_Hall 'P 1'
loop_
_atom_site_label
_atom_site_type_symbol
_atom_site_fract_x
_atom_site_fract_y
_atom_site_fract_z
Cd1 Cd 0.0000 0.0000 0.0000
Cd2 Cd 0.7500 0.2500 0.5000
Bi1 Bi 0.2500 0.7500 0.5000
Bi2 Bi 0.5000 0.5000 0.0000
Br1 Br 0.2243 0.1250 0.5993
Br2 Br 0.3750 0.7757 0.9007
Br3 Br 0.5257 0.6250 0.4007
Br4 Br 0.8750 0.4743 0.0993
```